Entry 1:
The following is a PBE-GGA calculation of a geometry-optimized La2DyErSe5 structure, from Alexandria via LeMat-Bulk.

Cell: 5.0999 5.0999 10.7343 Å, 90.00 90.00 90.00°
Positions (direct):
1 Se 0.0000 0.0000 0.7545
2 Se 0.0000 0.5000 0.5000
3 Se 0.0000 0.0000 0.2455
4 Se 0.5000 0.5000 0.0000
5 Se 0.5000 0.0000 0.5000
6 La 0.5000 0.5000 0.6991
7 La 0.5000 0.5000 0.3009
8 Dy 0.0000 0.0000 0.0000
9 Er 0.0000 0.0000 0.5000

Raw total energy in eV/atom: -5.486
Size of the total moment in Bohr magnetons per cell: 0.54
Fermi-level density of states in states/eV/f.u.: 7.348

Entry 2:
The following is a PBE-GGA calculation of a geometry-optimized Al2WAu structure, from Alexandria via LeMat-Bulk.

Cell: 9.0404 9.0404 9.0404 Å, 18.59 18.59 18.59°
Positions (direct):
1 Au 0.5026 0.5026 0.5026
2 Al 0.2489 0.2489 0.2489
3 Al 0.0004 0.0004 0.0004
4 W 0.7481 0.7481 0.7481

Polymorph energy (0 for the lowest one) in meV per atom: 160
Raw total energy in eV/atom: -5.897
Size of the total moment in Bohr magnetons per cell: 0.00
ΔH_f (0 K) in eV/atom: 0.032
Fermi-level density of states in states/eV/f.u.: 0.719

Entry 3:
The following is a PBE-GGA calculation of a geometry-optimized In2SbS2 structure, from Alexandria via LeMat-Bulk.

Cell: 7.9771 7.9771 3.5657 Å, 90.00 90.00 90.00°
Positions (direct):
1 S 0.1410 0.6410 0.5000
2 S 0.6410 0.8590 0.5000
3 S 0.8590 0.3590 0.5000
4 S 0.3590 0.1410 0.5000
5 In 0.3484 0.8484 0.0000
6 In 0.6516 0.1516 0.0000
7 In 0.8484 0.6516 0.0000
8 In 0.1516 0.3484 0.0000
9 Sb 0.5000 0.5000 0.0000
10 Sb 0.0000 0.0000 0.0000

Polymorph energy (0 for the lowest one) in meV per atom: 264
Raw total energy in eV/atom: -3.540
Size of the total moment in Bohr magnetons per cell: 0.00
Fermi-level density of states in states/eV/f.u.: 2.923

Entry 4:
The following is a PBE-GGA calculation of a geometry-optimized TiAgC structure, from Alexandria via LeMat-Bulk.

Cell: 3.5348 3.5348 8.6707 Å, 78.24 78.24 60.00°
Positions (direct):
1 Ti 0.6254 0.6254 0.1237
2 Ti 0.3746 0.3746 0.8763
3 C 0.7081 0.7081 0.8758
4 C 0.2919 0.2919 0.1242
5 Ag 0.8718 0.8718 0.3845
6 Ag 0.1282 0.1282 0.6155

Raw total energy in eV/atom: -6.603
Size of the total moment in Bohr magnetons per cell: 0.00
ΔH_f (0 K) in eV/atom: 0.054
Fermi-level density of states in states/eV/f.u.: 0.261